Entry 1:
# InCoIrW

A relaxed structure of InCoIrW (PBE, OQMD).

- Space group: F-43m

abc: 4.4319 4.4319 4.4319
angles: 60.00 60.00 60.00
Element x y z (fractional)
In 0.0000 0.0000 0.0000
Co 0.2500 0.2500 0.2500
Ir 0.7500 0.7500 0.7500
W 0.5000 0.5000 0.5000

Entry 2:
# NdTlHgSe3

A relaxed structure of NdTlHgSe3 (PBE, OQMD).

- Space group: Pnma

abc: 12.0347 4.4488 12.7878
angles: 90.00 90.00 90.00
Element x y z (fractional)
Nd 0.0265 0.2500 0.1812
Nd 0.4735 0.7500 0.6812
Nd 0.5265 0.2500 0.3188
Nd 0.9735 0.7500 0.8188
Tl 0.1712 0.2500 0.4998
Tl 0.3288 0.7500 0.9998
Tl 0.6712 0.2500 0.0002
Tl 0.8288 0.7500 0.5002
Hg 0.2491 0.7500 0.3020
Hg 0.2509 0.2500 0.8020
Hg 0.7491 0.7500 0.1980
Hg 0.7509 0.2500 0.6980
Se 0.0316 0.7500 0.3409
Se 0.0850 0.2500 0.9373
Se 0.2254 0.7500 0.6780
Se 0.2746 0.2500 0.1780
Se 0.4150 0.7500 0.4373
Se 0.4684 0.2500 0.8409
Se 0.5316 0.7500 0.1591
Se 0.5850 0.2500 0.5627
Se 0.7254 0.7500 0.8220
Se 0.7746 0.2500 0.3220
Se 0.9150 0.7500 0.0627
Se 0.9684 0.2500 0.6591

Respective total moment values: 0.44, 0.00 μB per atom.
Respective total DFT energy (no corrections) values: -7.695, -3.896 eV per atom.